Entry 1:
Density functional theory data (PBE) for BaLaVCr2 after structural relaxation.

Unit cell a=5.0280 b=5.2937 c=5.0280 alpha=90.00 beta=90.00 gamma=90.00
Site moments in Bohr magnetons follow the coordinates.
Fractional positions:
V 0.0000 0.0000 0.0000  1.60
Cr 0.5000 0.0000 0.0000  -3.44
Cr 0.0000 0.0000 0.5000  -3.16
Ba 0.5000 0.5000 0.5000  -0.07
La 0.0000 0.5000 0.0000  0.13

Output
The final energy is -31.1 eV/f.u. The density of states at the Fermi level comes out at 5.37 states/eV/cell. The formation energy is 0.831 eV/atom. Its space-group type is P4/mmm.

***

Entry 2:
Density functional theory data (PBE) for BaLi2Cr after structural relaxation.

Unit cell a=5.0214 b=3.5259 c=6.4422 alpha=80.44 beta=90.00 gamma=90.00
Site moments in Bohr magnetons follow the coordinates.
Fractional positions:
Li 0.0000 0.9704 0.9221  -0.01
Li 0.0000 0.5296 0.5779  -0.01
Cr 0.5000 0.7500 0.7500  3.95
Ba 0.5000 0.2500 0.2500  -0.04

Output
The final energy is -13.3 eV/f.u. The density of states at the Fermi level comes out at 2.96 states/eV/cell. The formation energy is 0.506 eV/atom. The value obtained for the energy above the lowest structure with this stoichiometry is 7.4 kJ/mol of atoms. Its space-group type is P2/m.

***

Entry 3:
Density functional theory data (PBE) for BaLiCr2 after structural relaxation.

Unit cell a=5.3306 b=5.3306 c=5.3306 alpha=60.00 beta=60.00 gamma=60.00
Site moments in Bohr magnetons follow the coordinates.
Fractional positions:
Ba 0.5000 0.5000 0.5000  0.00
Cr 0.7500 0.7500 0.7500  3.90
Cr 0.0000 0.0000 0.0000  3.92
Li 0.2500 0.2500 0.2500  -0.05

Output
The final energy is -19.4 eV/f.u. The density of states at the Fermi level comes out at 2.96 states/eV/cell. The formation energy is 0.920 eV/atom. The value obtained for the energy above the lowest structure with this stoichiometry is 35.4 kJ/mol of atoms. Its space-group type is F-43m.

***

Entry 4:
Density functional theory data (PBE) for BaLi2Cr after structural relaxation.

Unit cell a=5.2319 b=5.2319 c=5.2319 alpha=60.00 beta=60.00 gamma=60.00
Site moments in Bohr magnetons follow the coordinates.
Fractional positions:
Cr 0.0000 0.0000 0.0000  0.01
Li 0.7500 0.7500 0.7500  -0.02
Li 0.2500 0.2500 0.2500  -0.02
Ba 0.5000 0.5000 0.5000  -0.13

Output
The final energy is -11.6 eV/f.u. The density of states at the Fermi level comes out at 1.93 states/eV/cell. The formation energy is 0.954 eV/atom. The value obtained for the energy above the lowest structure with this stoichiometry is 50.6 kJ/mol of atoms. Its space-group type is Fm-3m.

***

Entry 5:
Density functional theory data (PBE) for Ba2LiCr after structural relaxation.

Unit cell a=6.0034 b=6.0088 c=4.3401 alpha=90.00 beta=90.00 gamma=90.00
Site moments in Bohr magnetons follow the coordinates.
Fractional positions:
Ba 0.0000 0.0000 0.0000  0.03
Ba 0.5000 0.5000 0.0000  0.03
Cr 0.5000 0.0000 0.5000  4.05
Li 0.0000 0.5000 0.5000  -0.02

Output
The final energy is -13.6 eV/f.u. The density of states at the Fermi level comes out at 5.16 states/eV/cell. The formation energy is 0.442 eV/atom. The value obtained for the energy above the lowest structure with this stoichiometry is 3.0 kJ/mol of atoms. Its space-group type is P4/mmm.

***

Entry 6:
Density functional theory data (PBE) for BaLi2Cr after structural relaxation.

Unit cell a=3.8151 b=3.8151 c=7.7814 alpha=90.00 beta=90.00 gamma=90.00
Site moments in Bohr magnetons follow the coordinates.
Fractional positions:
Li 0.0000 0.0000 0.9913  0.00
Li 0.5000 0.5000 0.1760  -0.01
Cr 0.5000 0.5000 0.8150  4.00
Ba 0.0000 0.0000 0.5176  0.01

Output
The final energy is -13.5 eV/f.u. The density of states at the Fermi level comes out at 2.52 states/eV/cell. The formation energy is 0.467 eV/atom. The value obtained for the energy above the lowest structure with this stoichiometry is 3.6 kJ/mol of atoms. Its space-group type is P4mm.

***

Entry 7:
Density functional theory data (PBE) for BaLi2Cr after structural relaxation.

Unit cell a=6.3277 b=6.3277 c=3.5384 alpha=77.51 beta=77.51 gamma=117.76
Site moments in Bohr magnetons follow the coordinates.
Fractional positions:
Ba 0.5000 0.0000 0.5000  -0.07
Li 0.0000 0.0000 0.0000  -0.02
Li 0.5000 0.5000 0.0000  -0.02
Cr 0.0000 0.5000 0.5000  3.96

Output
The final energy is -13.0 eV/f.u. The density of states at the Fermi level comes out at 2.83 states/eV/cell. The formation energy is 0.601 eV/atom. The value obtained for the energy above the lowest structure with this stoichiometry is 16.5 kJ/mol of atoms. Its space-group type is C2/m.

***

Entry 8:
Density functional theory data (PBE) for BaLi2Cr after structural relaxation.

Unit cell a=3.8537 b=3.8537 c=7.4276 alpha=90.00 beta=90.00 gamma=90.00
Site moments in Bohr magnetons follow the coordinates.
Fractional positions:
Li 0.0000 0.0000 0.9243  0.00
Li 0.0000 0.0000 0.5757  0.00
Ba 0.5000 0.5000 0.2500  -0.03
Cr 0.5000 0.5000 0.7500  3.99

Output
The final energy is -13.4 eV/f.u. The density of states at the Fermi level comes out at 2.70 states/eV/cell. The formation energy is 0.489 eV/atom. The value obtained for the energy above the lowest structure with this stoichiometry is 5.7 kJ/mol of atoms. Its space-group type is P4/mmm.

***

Entry 9:
Density functional theory data (PBE) for BaLi2Cr2 after structural relaxation.

Unit cell a=8.2991 b=8.2991 c=3.1009 alpha=90.00 beta=90.00 gamma=90.00
Site moments in Bohr magnetons follow the coordinates.
Fractional positions:
Li 0.8091 0.6909 0.0000  0.02
Li 0.1909 0.3091 0.0000  0.02
Li 0.6909 0.1909 0.0000  0.02
Li 0.3091 0.8091 0.0000  0.02
Cr 0.0769 0.5769 0.5000  0.57
Cr 0.9231 0.4231 0.5000  0.57
Cr 0.4231 0.0769 0.5000  0.53
Cr 0.5769 0.9231 0.5000  0.53
Ba 0.5000 0.5000 0.0000  0.12
Ba 0.0000 0.0000 0.0000  0.12

Output
The final energy is -20.9 eV/f.u. The density of states at the Fermi level comes out at 10.31 states/eV/cell. The formation energy is 0.813 eV/atom. The value obtained for the energy above the lowest structure with this stoichiometry is 7.3 kJ/mol of atoms. Its space-group type is P4/mbm.

***

Entry 10:
Density functional theory data (PBE) for BaLi2Cr after structural relaxation.

Unit cell a=5.5241 b=5.5241 c=5.5241 alpha=60.00 beta=60.00 gamma=60.00
Site moments in Bohr magnetons follow the coordinates.
Fractional positions:
Cr 0.7500 0.7500 0.7500  4.01
Li 0.2500 0.2500 0.2500  -0.04
Li 0.0000 0.0000 0.0000  -0.02
Ba 0.5000 0.5000 0.5000  0.01

Output
The final energy is -13.3 eV/f.u. The density of states at the Fermi level comes out at 2.62 states/eV/cell. The formation energy is 0.509 eV/atom. The value obtained for the energy above the lowest structure with this stoichiometry is 7.7 kJ/mol of atoms. Its space-group type is F-43m.

***

Entry 11:
Density functional theory data (PBE) for BaLi2Cr after structural relaxation.

Unit cell a=4.8697 b=4.8697 c=11.1657 alpha=77.40 beta=77.40 gamma=90.00
Site moments in Bohr magnetons follow the coordinates.
Fractional positions:
Ba 0.7500 0.2500 0.5000  0.02
Ba 0.0000 0.0000 0.0000  0.02
Li 0.8750 0.7402 0.7500  0.00
Li 0.4902 0.1250 0.2500  0.00
Li 0.3750 0.5098 0.7500  0.00
Li 0.2598 0.6250 0.2500  0.00
Cr 0.5000 0.5000 0.0000  4.01
Cr 0.2500 0.7500 0.5000  4.01

Output
The final energy is -13.1 eV/f.u. The density of states at the Fermi level comes out at 6.17 states/eV/cell. The formation energy is 0.572 eV/atom. The value obtained for the energy above the lowest structure with this stoichiometry is 13.8 kJ/mol of atoms. Its space-group type is I-42d.

***

Entry 12:
Density functional theory data (PBE) for BaLiCr2 after structural relaxation.

Unit cell a=4.5063 b=4.5063 c=6.5982 alpha=70.13 beta=70.13 gamma=59.92
Site moments in Bohr magnetons follow the coordinates.
Fractional positions:
Li 0.4514 0.4514 0.6442  0.01
Ba 0.2578 0.2578 0.2292  0.01
Cr 0.0586 0.0586 0.8242  -3.41
Cr 0.7322 0.7322 0.8024  3.48

Output
The final energy is -20.9 eV/f.u. The density of states at the Fermi level comes out at 2.84 states/eV/cell. The formation energy is 0.552 eV/atom. The value obtained for the energy above the lowest structure with this stoichiometry is 0.0 kJ/mol of atoms. Its space-group type is Cm.

***

Question: What is the density of states at the Fermi level in the eighth record?
Answer: 2.70 states/eV/cell

***

Question: Which value of final energy does entry 4 give?
Answer: -11.6 eV/f.u.

***

Question: What is the formula in the ninth record?
Answer: BaLi2Cr2

***

Question: Which value of final energy does entry 6 give?
Answer: -13.5 eV/f.u.